The following is a GGA+U calculation of a geometry-optimized TiV3O8 structure, from the Alexandria database.

The structure belongs to space group Cc (No. 9); the cell edges are 15.1214, 3.7925 and 12.2981 Å and the angles 90.00°, 124.38° and 90.00°. The distinct sites, in fractional coordinates, are Ti at (0.0000, 0.2437, 0.0000), V at (0.2796, 0.2475, 0.8872), V at (0.2905, 0.2540, 0.1982), V at (0.4892, 0.2042, 0.1956), O at (0.1399, 0.2500, 0.0855), O at (0.1451, 0.2496, 0.8203), O at (0.2876, 0.2470, 0.7358), O at (0.3164, 0.2532, 0.3827), O at (0.3286, 0.2465, 0.0813), O at (0.4594, 0.2555, 0.3253), O at (0.4682, 0.2449, 0.0152) and O at (0.4936, 0.2546, 0.6704).

The calculation puts the total magnetic moment at 0.250 μB/atom. The crystal system is monoclinic. As for the energy: -8.059 eV/atom.